# 1
LaTlZnTe3: relaxed, PBE.

* total magnetization: 0.00 μB/f.u.
* offset from the most stable computed form: 159 meV per atom

Cell lengths 19.4454, 4.6428, 9.5564 Å; angles 90.00, 106.41, 90.00 degrees
With the nearest neighbours (Å) after each atom.
Space group C2/m (No. 12)
Inequivalent atoms, fractional coordinates:
La  0.1763  0.0000  0.1043 (multiplicity 4)  6 Te 3.19-3.29
Tl  0.1324  0.0000  0.5800 (multiplicity 4)  7 Te 3.39-3.77
Zn  0.0217  0.5000  0.2197 (multiplicity 4)  2 Te 2.70-2.83
Te  0.0000  0.0000  0.0000 (multiplicity 2)  4 Zn 3.08, 2 La 3.29
Te  0.0000  0.5000  0.5000 (multiplicity 2)  2 Zn 2.83
Te  0.1563  0.5000  0.8668 (multiplicity 4)  3 La 3.19, 1 Zn 3.32, 2 Tl 3.52
Te  0.1660  0.5000  0.3272 (multiplicity 4)  1 Zn 2.70



# 2
LaTlZnTe3: relaxed, PBE.

* total magnetization: 0.00 μB/f.u.
* offset from the most stable computed form: 21 meV per atom

Cell lengths 15.7710, 4.5020, 12.2225 Å; angles 90.00, 90.00, 90.00 degrees
With the nearest neighbours (Å) after each atom.
Space group Pnma (No. 62)
Inequivalent atoms, fractional coordinates:
La  0.0259  0.2500  0.1623 (multiplicity 4)  6 Te 3.20-3.29
Tl  0.2390  0.2500  0.4652 (multiplicity 4)  6 Te 3.38-3.76
Zn  0.0175  0.7500  0.4014 (multiplicity 4)  4 Te 2.67-2.77
Te  0.0841  0.7500  0.6089 (multiplicity 4)  3 Zn 2.74-2.77
Te  0.1045  0.2500  0.9208 (multiplicity 4)  3 La 3.20-3.21, 2 Tl 3.38
Te  0.1488  0.7500  0.2632 (multiplicity 4)  1 Zn 2.67



# 3
LaTlZnTe3: relaxed, PBE.

* total magnetization: 0.00 μB/f.u.
* offset from the most stable computed form: 0 meV per atom

Cell lengths 12.1346, 4.4937, 15.4042 Å; angles 90.00, 90.00, 90.00 degrees
With the nearest neighbours (Å) after each atom.
Space group Pnma (No. 62)
Inequivalent atoms, fractional coordinates:
La  0.0106  0.2500  0.2392 (multiplicity 4)  6 Te 3.21-3.24
Tl  0.2203  0.7500  0.5045 (multiplicity 4)  7 Te 3.50-3.85
Zn  0.2402  0.2500  0.7146 (multiplicity 4)  4 Te 2.67-2.79
Te  0.0548  0.2500  0.6198 (multiplicity 4)  1 Zn 2.68
Te  0.0903  0.7500  0.1043 (multiplicity 4)  1 Zn 2.67
Te  0.2443  0.7500  0.8220 (multiplicity 4)  2 Zn 2.79



# 4
LaTlZnTe3: relaxed, PBE.

* total magnetization: 0.00 μB/f.u.
* offset from the most stable computed form: 13 meV per atom

Cell lengths 12.6795, 4.6234, 13.4448 Å; angles 90.00, 90.00, 90.00 degrees
With the nearest neighbours (Å) after each atom.
Space group Pnma (No. 62)
Inequivalent atoms, fractional coordinates:
La  0.0231  0.2500  0.1815 (multiplicity 4)  7 Te 3.26-3.45
Tl  0.1802  0.2500  0.4959 (multiplicity 4)  7 Te 3.48-3.65, 2 Zn 3.62
Zn  0.2460  0.7500  0.2985 (multiplicity 4)  4 Te 2.65-2.75
Te  0.0442  0.7500  0.3511 (multiplicity 4)  1 Zn 2.65
Te  0.1049  0.2500  0.9402 (multiplicity 4)  1 Zn 2.68
Te  0.2151  0.7500  0.6941 (multiplicity 4)  2 Zn 2.75